DFT (PBE-GGA) results for a relaxed structure of Cr3CoS.

Unit cell a=4.4256 b=4.4256 c=4.4256 alpha=90.00 beta=90.00 gamma=90.00
Fractional positions:
Cr1 0.0000 0.0000 0.5000
Cr2 0.0000 0.5000 0.0000
Cr3 0.5000 0.0000 0.0000
Co1 0.0000 0.0000 0.0000
S1 0.5000 0.5000 0.5000

Results
total energy: -34.553 eV for the cell shown
spin magnetization: 8.781 μB per cell
space group: Pm-3m, No. 221
uncorrected formation energy: 1110 meV/atom